Entry from Alexandria via LeMat-Bulk: a relaxed structure of InBN2 (PBE-GGA).

Cell lengths 3.4583, 3.4583, 9.8890 Å; angles 90.00, 90.00, 120.00 degrees
Atoms (fractional coordinates):
B 0.6667 0.3333 0.2500
N 0.6667 0.3333 0.1143
N 0.3333 0.6667 0.6143
N 0.6667 0.3333 0.3857
N 0.3333 0.6667 0.8857
B 0.3333 0.6667 0.7500
In 0.0000 0.0000 0.0000
In 0.0000 0.0000 0.5000

Summary:
energy above the lowest structure with this stoichiometry: 0.17 kcal/mol of atoms
SG: P6_3/mmc

Entry from Alexandria via LeMat-Bulk: a relaxed structure of InBN2O (PBE-GGA).

Cell lengths 3.1164, 3.1164, 5.5097 Å; angles 90.00, 90.00, 90.00 degrees
Atoms (fractional coordinates):
N 0.5000 0.0000 0.0000
In 0.5000 0.5000 0.5000
N 0.0000 0.5000 0.0000
B 0.0000 0.0000 0.0000
O 0.0000 0.0000 0.5000

Summary:
SG: P4/mmm

Entry from Alexandria via LeMat-Bulk: a relaxed structure of RbInB2N (PBE-GGA).

Cell lengths 4.1377, 5.2341, 4.1377 Å; angles 90.00, 90.00, 90.00 degrees
Atoms (fractional coordinates):
In 0.5000 0.5000 0.5000
Rb 0.0000 0.5000 0.0000
N 0.0000 0.0000 0.0000
B 0.5000 0.0000 0.0000
B 0.0000 0.0000 0.5000

Summary:
SG: P4/mmm

Entry from Alexandria via LeMat-Bulk: a relaxed structure of In2ReBN (PBE-GGA).

Cell lengths 5.4116, 2.7077, 5.4116 Å; angles 90.00, 90.00, 90.00 degrees
Atoms (fractional coordinates):
In 0.5000 0.0000 0.0000
Re 0.5000 0.5000 0.5000
In 0.0000 0.0000 0.5000
B 0.0000 0.0000 0.0000
N 0.0000 0.5000 0.0000

Summary:
SG: P4/mmm

Across the entries above, raw formation energy takes the values -275, 412, 2099, 470 meV per atom, respectively.
Across the entries above, Fermi-level density of states takes the values 0.000, 1.987, 3.996, 2.074 states/eV/cell, respectively.
Across the entries above, ρ takes the values 4982, 5265, 4372, 9228 kg/m³, respectively.